Below is a relaxed ReSbRh crystal, with properties calculated at the PBE-GGA level.

Computed properties:
Energy relative to the lowest polymorph listed for this composition, eV/f.u.: 0.00

abc: 5.9519 5.9519 5.9519
angles: 150.45 150.45 42.28
With the nearest neighbours (Å) after each atom.
Sites, in units of the cell vectors:
Re1 0.0088 0.0088 0.0000  4 Rh 2.69, 4 Sb 2.87
Sb1 0.3370 0.3370 0.0000  4 Re 2.87, 4 Rh 2.95, 4 Sb 3.04
Rh1 0.6542 0.6542 0.0000  4 Re 2.69, 4 Sb 2.95

---

Below is a relaxed ReSbRh2 crystal, with properties calculated at the PBE-GGA level.

abc: 5.5011 5.5011 5.5011
angles: 148.94 130.23 59.83
With the nearest neighbours (Å) after each atom.
Sites, in units of the cell vectors:
Re1 0.7395 0.2395 0.5000  2 Sb 2.70, 6 Rh 2.74-2.77, 2 Re 2.95
Sb1 0.5020 0.5020 0.0000  6 Rh 2.60-2.75, 2 Re 2.70
Rh1 0.9814 0.9814 0.0000  2 Re 2.74, 4 Sb 2.75, 4 Rh 2.95-3.03
Rh2 0.2771 0.7771 0.5000  2 Sb 2.60, 4 Re 2.77

---

Below is a relaxed ReSbRh2 crystal, with properties calculated at the PBE-GGA level.

abc: 4.8544 4.8544 2.8710
angles: 90.00 90.00 110.15
With the nearest neighbours (Å) after each atom.
Sites, in units of the cell vectors:
Re1 0.5000 0.5000 0.5000  2 Sb 2.78, 8 Rh 2.82, 2 Re 2.87
Sb1 0.0000 0.0000 0.5000  2 Re 2.78, 8 Rh 2.82, 2 Sb 2.87
Rh1 0.5000 0.0000 0.0000  4 Rh 2.78-2.87, 4 Sb 2.82, 4 Re 2.82
Rh2 0.0000 0.5000 0.0000  4 Rh 2.78-2.87, 4 Re 2.82, 4 Sb 2.82

---

Below is a relaxed Re2SbRh crystal, with properties calculated at the PBE-GGA level.

abc: 4.8221 4.8221 4.8380
angles: 81.56 81.56 35.69
With the nearest neighbours (Å) after each atom.
Sites, in units of the cell vectors:
Re1 0.0092 0.0092 0.9610  5 Re 2.67-2.96, 4 Rh 2.74-2.93, 1 Sb 2.85
Re2 0.7488 0.7488 0.7774  5 Re 2.67-2.96, 4 Sb 2.82-2.85, 3 Rh 2.87-2.91
Sb1 0.2481 0.2481 0.2730  3 Rh 2.63-2.82, 5 Re 2.82-2.85
Rh1 0.4939 0.4939 0.4886  3 Sb 2.63-2.82, 7 Re 2.74-2.93

---

Below is a relaxed ReSbRh2 crystal, with properties calculated at the PBE-GGA level.

abc: 2.9852 2.9852 7.2973
angles: 90.00 90.00 90.00
With the nearest neighbours (Å) after each atom.
Sites, in units of the cell vectors:
Re1 0.5000 0.5000 0.7706  4 Rh 2.62
Sb1 0.0000 0.0000 0.4888  4 Rh 2.70, 4 Re 2.95, 4 Sb 2.99
Rh1 0.0000 0.0000 0.9827  4 Re 2.62, 4 Rh 2.91
Rh2 0.5000 0.5000 0.2579  4 Sb 2.70, 8 Rh 2.91-2.99

---

Below is a relaxed ReSbRh2 crystal, with properties calculated at the PBE-GGA level.

abc: 2.9078 2.9078 7.7532
angles: 90.00 90.00 90.00
With the nearest neighbours (Å) after each atom.
Sites, in units of the cell vectors:
Re1 0.5000 0.5000 0.5000  8 Rh 2.70, 4 Re 2.91
Sb1 0.5000 0.5000 0.0000  4 Sb 2.91, 8 Rh 2.95
Rh1 0.0000 0.0000 0.7265  4 Re 2.70, 4 Rh 2.91, 4 Sb 2.95
Rh2 0.0000 0.0000 0.2735  4 Re 2.70, 4 Rh 2.91, 4 Sb 2.95

---

Quick rundown of energy relative to the elements, uncorrected, same order as above: 0.3440, 0.2043, 0.1352, 0.3091, 0.2064, 0.0625 eV per atom
Quick rundown of DFT total energy, same order as above: -7.630, -7.614, -7.683, -8.783, -7.612, -7.756 eV per atom